Computed, not measured: a relaxed structure of Cu2TcOs at the PBE level of DFT.

a b c (Å): 8.801 2.653 4.650
angles (deg): 90.00 98.61 90.00
Space group Cm (No. 8)
Symmetry-distinct sites (fractional):
1 Cu 0.000 0.000 0.000
2 Cu 0.249 0.500 0.204
3 Tc 0.002 0.500 0.499
4 Os 0.252 0.000 0.707

Summary:
Excess energy over the best structure of this formula in the dataset in meV per atom: 99
Calculated formation energy in eV per atom: 0.24
Volume in Å³ per atom: 13.416
Theoretical density in Mg/m³: 12.851
Total magnetization in μB per cell: 0.00